1.
Computed, not measured: a geometry-optimized Cd2NiRu structure at the PBE-GGA level of DFT.

Output
E_form	0.278	eV/atom
crystal system	tetragonal

Lattice parameters (Å, degrees): 2.9144 2.9144 7.6598 90.00 90.00 90.00
Element x y z (fractional)
Cd1 0.0000 0.0000 0.2345
Cd2 0.0000 0.0000 0.7655
Ni1 0.5000 0.5000 0.0000
Ru1 0.5000 0.5000 0.5000

***

2.
Computed, not measured: a geometry-optimized CdNi2Ru structure at the PBE-GGA level of DFT.

Output
E_form	0.280	eV/atom
crystal system	trigonal

Lattice parameters (Å, degrees): 8.8064 8.8064 8.8064 17.85 17.85 17.85
Element x y z (fractional)
Cd1 0.0000 0.0000 0.0000
Ni1 0.2456 0.2456 0.2456
Ni2 0.5052 0.5052 0.5052
Ru1 0.7624 0.7624 0.7624

***

3.
Computed, not measured: a geometry-optimized Cd2NiRu structure at the PBE-GGA level of DFT.

Output
E_form	0.306	eV/atom
crystal system	orthorhombic

Lattice parameters (Å, degrees): 4.8662 4.8662 2.8676 90.00 90.00 106.02
Element x y z (fractional)
Cd1 0.0000 0.5000 0.0000
Cd2 0.5000 0.0000 0.0000
Ni1 0.0000 0.0000 0.5000
Ru1 0.5000 0.5000 0.5000

***

4.
Computed, not measured: a geometry-optimized CdNi2Ru structure at the PBE-GGA level of DFT.

Output
E_form	0.173	eV/atom
crystal system	orthorhombic

Lattice parameters (Å, degrees): 2.7222 3.5676 5.7589 90.00 90.00 90.00
Element x y z (fractional)
Cd1 0.0000 0.0000 0.0000
Ni1 0.5000 0.5000 0.2862
Ni2 0.5000 0.5000 0.7138
Ru1 0.0000 0.0000 0.5000

***

5.
Computed, not measured: a geometry-optimized ScCdNiRu structure at the PBE-GGA level of DFT.

Output
E_form	-0.148	eV/atom
crystal system	cubic

Lattice parameters (Å, degrees): 4.5090 4.5090 4.5090 60.00 60.00 60.00
Element x y z (fractional)
Sc1 0.0000 0.0000 0.0000
Cd1 0.5000 0.5000 0.5000
Ni1 0.2500 0.2500 0.2500
Ru1 0.7500 0.7500 0.7500

***

6.
Computed, not measured: a geometry-optimized Tm4CdNiRu2 structure at the PBE-GGA level of DFT.

Output
E_form	-0.411	eV/atom
crystal system	trigonal

Lattice parameters (Å, degrees): 8.4096 8.4096 8.4096 33.48 33.48 33.48
Element x y z (fractional)
Tm1 0.1187 0.1187 0.1187
Tm2 0.3704 0.3704 0.3704
Tm3 0.6296 0.6296 0.6296
Tm4 0.8813 0.8813 0.8813
Cd1 0.5000 0.5000 0.5000
Ni1 0.0000 0.0000 0.0000
Ru1 0.2494 0.2494 0.2494
Ru2 0.7506 0.7506 0.7506

***

7.
Computed, not measured: a geometry-optimized ZrCdNiRu2 structure at the PBE-GGA level of DFT.

Output
E_form	1.447	eV/atom
crystal system	tetragonal

Lattice parameters (Å, degrees): 4.8247 4.8247 4.4467 90.00 90.00 90.00
Element x y z (fractional)
Zr1 0.0000 0.0000 0.0000
Cd1 0.5000 0.5000 0.5000
Ni1 0.5000 0.5000 0.0000
Ru1 0.0000 0.5000 0.5000
Ru2 0.5000 0.0000 0.5000

***

8.
Computed, not measured: a geometry-optimized CdNi2S structure at the PBE-GGA level of DFT.

Output
crystal system	tetragonal
E_form (uncorrected)	-0.17	eV/f.u.

Lattice parameters (Å, degrees): 7.6214 7.6214 7.6214 145.35 145.35 49.82
Element x y z (fractional)
Cd1 0.0000 0.0000 0.0000
Cd2 0.7500 0.2500 0.5000
Ni1 0.2758 0.6250 0.1508
Ni2 0.3750 0.5258 0.6508
Ni3 0.4742 0.1250 0.8492
Ni4 0.8750 0.7242 0.3492
S1 0.2500 0.7500 0.5000
S2 0.5000 0.5000 0.0000